[1]
The following is a PBE-GGA calculation of an optimized crystal structure of LiDyAlCu, from Alexandria.

Cell: 4.6034 4.6034 4.6034 Å, 60.00 60.00 60.00°
Last column: nearest neighbours and their distance in Å.
Fractional coordinates of all 4 atoms:
Li1 0.7500 0.7500 0.7500  4 Al 2.82, 4 Dy 2.82
Al1 0.5000 0.5000 0.5000  4 Li 2.82, 4 Cu 2.82
Cu1 0.2500 0.2500 0.2500  4 Dy 2.82, 4 Al 2.82
Dy1 0.0000 0.0000 0.0000  4 Li 2.82, 4 Cu 2.82

The calculation puts the magnetic moment at 0.00 μB/f.u. The formation energy is -0.330 eV per atom.


[2]
The following is a PBE-GGA calculation of an optimized crystal structure of Er2MgPd3, from Alexandria.

Cell: 4.8243 4.8243 11.6874 Å, 90.00 90.00 120.00°
Last column: nearest neighbours and their distance in Å.
Fractional coordinates of all 12 atoms:
Er1 0.0000 0.0000 0.5000  8 Pd 2.90-2.93
Er2 0.3333 0.6667 0.1778  8 Pd 2.87-3.07
Er3 0.6667 0.3333 0.8222  8 Pd 2.87-3.07
Er4 0.0000 0.0000 0.0000  8 Pd 2.94-2.96
Mg1 0.3333 0.6667 0.6654  8 Pd 2.83-2.97
Mg2 0.6667 0.3333 0.3346  8 Pd 2.83-2.97
Pd1 0.3333 0.6667 0.4233  4 Mg 2.83-2.97, 4 Er 2.87-2.93
Pd2 0.6667 0.3333 0.0847  1 Mg 2.92, 7 Er 2.96-3.07
Pd3 0.0000 0.0000 0.7482  5 Er 2.90-2.94, 3 Mg 2.95
Pd4 0.0000 0.0000 0.2518  5 Er 2.90-2.94, 3 Mg 2.95
Pd5 0.3333 0.6667 0.9153  1 Mg 2.92, 7 Er 2.96-3.07
Pd6 0.6667 0.3333 0.5767  4 Mg 2.83-2.97, 4 Er 2.87-2.93

For the energy above the lowest structure with this stoichiometry, the calculation gives 0.000 eV/atom. The calculation puts the magnetic moment at 0.00 μB/f.u. The formation energy is -0.861 eV per atom.


[3]
The following is a PBE-GGA calculation of an optimized crystal structure of ZnFe3Sn, from Alexandria.

Cell: 4.8043 4.8043 4.8043 Å, 90.00 90.00 90.00°
Last column: nearest neighbours and their distance in Å.
Fractional coordinates of all 5 atoms:
Zn1 0.5000 0.5000 0.5000  12 Fe 3.40
Sn1 0.0000 0.0000 0.0000  6 Fe 2.40
Fe1 0.0000 0.5000 0.0000  2 Sn 2.40
Fe2 0.0000 0.0000 0.5000  2 Sn 2.40
Fe3 0.5000 0.0000 0.0000  2 Sn 2.40

For the energy above the lowest structure with this stoichiometry, the calculation gives 0.521 eV/atom. The calculation puts the magnetic moment at 8.51 μB/f.u. The formation energy is 1.423 eV per atom.


[4]
The following is a PBE-GGA calculation of an optimized crystal structure of Ca2AlCu, from Alexandria.

Cell: 4.3681 4.4653 5.8725 Å, 67.67 90.00 90.00°
Last column: nearest neighbours and their distance in Å.
Fractional coordinates of all 4 atoms:
Ca1 0.0000 0.9805 0.9144  3 Cu 3.10-3.28, 4 Al 3.27
Ca2 0.5000 0.2708 0.3338  3 Al 3.11-3.26, 4 Cu 3.28
Al1 0.5000 0.5710 0.7334  2 Cu 2.48
Cu1 0.0000 0.6776 0.5184  2 Al 2.48

The calculation puts the magnetic moment at 0.00 μB/f.u. The formation energy is -0.168 eV per atom.


Let's list volume in order: 69; 118; 111; 106 Å³/f.u..